(1)
Material: YTeW2
Method: DFT, PBE
State: optimized geometry

It has space group Pm (No. 6), with a = 3.360 Å, b = 4.420 Å, c = 5.732 Å, α = 90.00°, β = 97.55° and γ = 90.00°. The distinct sites, in fractional coordinates, are Y at (0.000, 0.000, 0.000), Te at (0.557, 0.500, 0.218), W at (0.327, 0.500, 0.704) and W at (0.577, 0.000, 0.529).

For the formation energy without anion corrections, the calculation gives 0.34 eV/atom.

=====

(2)
Material: Y2TeW
Method: DFT, PBE
State: optimized geometry

It has space group P4/mmm (No. 123), with a = 3.761 Å, b = 3.761 Å, c = 6.886 Å, α = 90.00°, β = 90.00° and γ = 90.00°. The distinct sites, in fractional coordinates, are Y at (0.000, 0.000, 0.237), Te at (0.500, 0.500, 0.500) and W at (0.500, 0.500, 0.000).

For the formation energy without anion corrections, the calculation gives -0.15 eV/atom.

=====

(3)
Material: YTeW4
Method: DFT, PBE
State: optimized geometry

It has space group F-43m (No. 216), with a = 7.767 Å, b = 7.767 Å, c = 7.767 Å, α = 90.00°, β = 90.00° and γ = 90.00°. The distinct sites, in fractional coordinates, are Y at (0.000, 0.000, 0.000), Te at (0.250, 0.250, 0.750) and W at (0.125, 0.125, 0.375).

For the formation energy without anion corrections, the calculation gives 0.45 eV/atom.

=====

(4)
Material: YTeW2
Method: DFT, PBE
State: optimized geometry

It has space group C2/m (No. 12), with a = 10.180 Å, b = 3.465 Å, c = 4.958 Å, α = 90.00°, β = 104.31° and γ = 90.00°. The distinct sites, in fractional coordinates, are Y at (0.000, 0.000, 0.000), Te at (0.000, 0.500, 0.500) and W at (0.240, 0.000, 0.687).

For the formation energy without anion corrections, the calculation gives 0.42 eV/atom.

=====

(5)
Material: YTeW2
Method: DFT, PBE
State: optimized geometry

It has space group Cmmm (No. 65), with a = 3.594 Å, b = 5.024 Å, c = 9.111 Å, α = 90.00°, β = 90.00° and γ = 90.00°. The distinct sites, in fractional coordinates, are Y at (0.000, 0.000, 0.000), Te at (0.000, 0.000, 0.500) and W at (0.000, 0.500, 0.267).

For the formation energy without anion corrections, the calculation gives 0.91 eV/atom.

=====

(6)
Material: YTeW2
Method: DFT, PBE
State: optimized geometry

It has space group R3m (No. 160, hexagonal axes), with a = 3.3824 Å, b = 3.3824 Å, c = 26.8887 Å, α = 90.00°, β = 90.00° and γ = 120.00°. The distinct sites, in fractional coordinates, are Y at (0.0000, 0.0000, 0.0000), Te at (0.0000, 0.0000, 0.7651), W at (0.0000, 0.0000, 0.2429) and W at (0.0000, 0.0000, 0.5143).

For the formation energy without anion corrections, the calculation gives 0.37 eV/atom.

=====

Let's list DOS(E_F) in order: 0.755, 0.846, 1.017, 0.737, 0.829, 0.730 states/eV/atom.